First-principles (PBE) data for a relaxed structure of LuAlOs, as listed in the Alexandria database.

Magnetic moment: 0.000 μB/atom
Symmetry: P-6m2
Energy of formation: -0.3679 eV per atom

Unit cell a=3.463 b=4.333 c=4.333 alpha=120.00 beta=90.00 gamma=90.00
Atoms (fractional coordinates):
Os1 0.167 0.000 0.000
Lu1 0.667 0.333 0.667
Al1 0.167 0.667 0.333

---

First-principles (PBE) data for a relaxed structure of LuAlOsPd, as listed in the Alexandria database.

Magnetic moment: 0.000 μB/atom
Symmetry: F-43m
Energy of formation: -0.5546 eV per atom

Unit cell a=4.550 b=4.550 c=4.550 alpha=60.00 beta=60.00 gamma=60.00
Atoms (fractional coordinates):
Lu1 0.750 0.750 0.750
Al1 0.250 0.250 0.250
Os1 0.500 0.500 0.500
Pd1 0.000 0.000 0.000

---

First-principles (PBE) data for a relaxed structure of PmLuAlOs, as listed in the Alexandria database.

Magnetic moment: 0.000 μB/atom
Symmetry: F-43m
Energy of formation: -0.2167 eV per atom

Unit cell a=4.959 b=4.959 c=4.959 alpha=60.00 beta=60.00 gamma=60.00
Atoms (fractional coordinates):
Os1 0.750 0.750 0.750
Lu1 0.500 0.500 0.500
Al1 0.250 0.250 0.250
Pm1 0.000 0.000 0.000

---

First-principles (PBE) data for a relaxed structure of LuScAlOs, as listed in the Alexandria database.

Magnetic moment: 0.000 μB/atom
Symmetry: F-43m
Energy of formation: -0.4036 eV per atom

Unit cell a=4.742 b=4.742 c=4.742 alpha=60.00 beta=60.00 gamma=60.00
Atoms (fractional coordinates):
Al1 0.250 0.250 0.250
Sc1 0.000 0.000 0.000
Lu1 0.500 0.500 0.500
Os1 0.750 0.750 0.750

---

First-principles (PBE) data for a relaxed structure of TbLuAlOs, as listed in the Alexandria database.

Magnetic moment: 0.000 μB/atom
Symmetry: F-43m
Energy of formation: -0.2990 eV per atom

Unit cell a=4.899 b=4.899 c=4.899 alpha=60.00 beta=60.00 gamma=60.00
Atoms (fractional coordinates):
Lu1 0.500 0.500 0.500
Al1 0.750 0.750 0.750
Os1 0.250 0.250 0.250
Tb1 0.000 0.000 0.000

---

First-principles (PBE) data for a relaxed structure of LuTiAlOs, as listed in the Alexandria database.

Magnetic moment: 0.000 μB/atom
Symmetry: F-43m
Energy of formation: -0.3266 eV per atom

Unit cell a=4.635 b=4.635 c=4.635 alpha=60.00 beta=60.00 gamma=60.00
Atoms (fractional coordinates):
Ti1 0.250 0.250 0.250
Os1 0.500 0.500 0.500
Lu1 0.750 0.750 0.750
Al1 0.000 0.000 0.000

---

First-principles (PBE) data for a relaxed structure of Lu2AlP, as listed in the Alexandria database.

Magnetic moment: 0.000 μB/atom
Symmetry: R-3m
Energy of formation: -0.8337 eV per atom

Unit cell a=3.766 b=3.766 c=7.913 alpha=76.23 beta=76.23 gamma=60.00
Atoms (fractional coordinates):
Lu1 0.737 0.737 0.789
Lu2 0.263 0.263 0.211
P1 0.000 0.000 0.000
Al1 0.500 0.500 0.500

---

First-principles (PBE) data for a relaxed structure of LuPaAl2, as listed in the Alexandria database.

Magnetic moment: 0.000 μB/atom
Symmetry: P4/mmm
Energy of formation: -0.1561 eV per atom
E above lowest polymorph: 88.2 meV/atom

Unit cell a=4.221 b=4.606 c=4.606 alpha=90.00 beta=90.00 gamma=90.00
Atoms (fractional coordinates):
Al1 0.000 0.000 0.500
Lu1 0.500 0.500 0.500
Al2 0.000 0.500 0.000
Pa1 0.500 0.000 0.000

---

| no. | volume (A^3/atom) |
| --- | --- |
| 1 | 18.76 |
| 2 | 16.65 |
| 3 | 21.55 |
| 4 | 18.84 |
| 5 | 20.79 |
| 6 | 17.60 |
| 7 | 23.37 |
| 8 | 22.39 |